No. 1
PmThS2N (PBE, optimized geometry); space group = P4/nmm, No. 129; uncorrected energy = -7.70 eV per atom; DOS at the Fermi energy = 2.3 states/eV/f.u.; magnetization = 0.000 Bohr magnetons per cell; energy relative to the elements, uncorrected = -44.9 kcal/mol of atoms
1.0
4.0071 0.0000 0.0000
0.0000 4.0071 0.0000
0.0000 0.0000 14.2630
Th S N Pm
2 4 2 2
direct
0.0000 0.5000 0.4148
0.5000 0.0000 0.5852
0.0000 0.5000 0.6953
0.5000 0.0000 0.9080
0.5000 0.0000 0.3047
0.0000 0.5000 0.0921
0.5000 0.5000 0.5000
0.0000 0.0000 0.5000
0.0000 0.5000 0.8784
0.5000 0.0000 0.1216

No. 2
PmUSN2 (PBE, optimized geometry); space group = I4mm, No. 107; uncorrected energy = -8.89 eV per atom; DOS at the Fermi energy = 3.2 states/eV/f.u.; magnetization = 1.001 Bohr magnetons per cell; energy relative to the elements, uncorrected = -35.2 kcal/mol of atoms
1.0
-0.4553 -2.4679 -2.8727
-2.3097 -2.1121 2.1805
-3.4105 5.4835 -1.6377
U S N Pm
1 1 2 1
direct
0.1594 0.1594 0.3188
0.5040 0.5040 0.0080
0.7409 0.2409 0.4818
0.2409 0.7409 0.4818
0.8548 0.8548 0.7095

Question: Which formula does entry 1 have?
Answer: PmThS2N

Question: What is the formula in the first record?
Answer: PmThS2N